The following is a GGA-PBE calculation of a relaxed SmCd3In crystal, from Alexandria.

Output
ρ: 6655 kg/m3

CIF file:
```
data_SmCd3In
_symmetry_space_group_name_H-M 'C m c m'
_symmetry_Int_Tables_number 63
_symmetry_space_group_name_Hall '-C 2c 2'
_cell_length_a 5.780
_cell_length_b 19.312
_cell_length_c 5.386
_cell_angle_alpha 90.00
_cell_angle_beta 90.00
_cell_angle_gamma 90.00
loop_
_atom_site_label
_atom_site_fract_x
_atom_site_fract_y
_atom_site_fract_z
_atom_site_occupancy
Sm1 0.000 0.150 0.250 1
Cd1 0.000 0.000 0.000 1
Cd2 0.249 0.298 0.250 1
In1 0.000 0.449 0.250 1
```

The following is a GGA-PBE calculation of a relaxed Sm6Cd5In crystal, from Alexandria.

Output
ρ: 7845 kg/m3

CIF file:
```
data_Sm6Cd5In
_symmetry_space_group_name_H-M 'I m m m'
_symmetry_Int_Tables_number 71
_symmetry_space_group_name_Hall '-I 2 2'
_cell_length_a 5.378
_cell_length_b 7.696
_cell_length_c 16.151
_cell_angle_alpha 90.00
_cell_angle_beta 90.00
_cell_angle_gamma 90.00
loop_
_atom_site_label
_atom_site_fract_x
_atom_site_fract_y
_atom_site_fract_z
_atom_site_occupancy
Sm1 0.000 0.249 0.000 1
Sm2 0.000 0.250 0.333 1
Cd1 0.000 0.000 0.167 1
Cd2 0.000 0.500 0.168 1
Cd3 0.000 0.500 0.500 1
In1 0.000 0.000 0.500 1
```

no.,total energy (eV/atom)
1,-1.947
2,-3.316